A plane-wave DFT calculation with PBE-GGA was carried out for a geometry-optimized CdSi2Se structure.

Cell: 3.3191 4.6821 4.9479 Å, 90.00 90.00 90.00°
Atoms (fractional coordinates):
1 Cd 0.0000 0.0000 0.0000
2 Si 0.0000 0.5000 0.5000
3 Si 0.5000 0.0000 0.5000
4 Se 0.5000 0.5000 0.0000

## Properties
Its energy above the most stable polymorph in this dataset is 1.86 eV/f.u. For the uncorrected formation energy, the calculation gives 0.497 eV per atom.

A plane-wave DFT calculation with PBE-GGA was carried out for a geometry-optimized Y2ErPuN4 structure.

Cell: 5.9839 3.4704 5.9869 Å, 90.00 109.37 90.00°
Atoms (fractional coordinates):
1 Y 0.0000 0.0000 0.0000
2 Y 0.5000 0.5000 0.0000
3 Er 0.0000 0.5000 0.5000
4 Pu 0.5000 0.0000 0.5000
5 N 0.2512 0.0000 0.7433
6 N 0.2552 0.5000 0.2582
7 N 0.7448 0.5000 0.7418
8 N 0.7488 0.0000 0.2567

## Properties
For the uncorrected formation energy, the calculation gives -1.594 eV per atom.

A plane-wave DFT calculation with PBE-GGA was carried out for a geometry-optimized Sr3Zn9Ag2 structure.

Cell: 8.6421 8.6421 8.6421 Å, 149.51 114.36 74.09°
Atoms (fractional coordinates):
1 Sr 0.0000 0.0000 0.0000
2 Sr 0.2996 0.2996 0.0000
3 Sr 0.7004 0.7004 0.0000
4 Zn 0.0234 0.6693 0.3542
5 Zn 0.1569 0.8706 0.2863
6 Zn 0.3151 0.6693 0.6458
7 Zn 0.4158 0.1294 0.2863
8 Zn 0.5000 0.0000 0.5000
9 Zn 0.5842 0.8706 0.7137
10 Zn 0.6849 0.3307 0.3542
11 Zn 0.8431 0.1294 0.7137
12 Zn 0.9766 0.3307 0.6458
13 Ag 0.2988 0.5000 0.7988
14 Ag 0.7012 0.5000 0.2012

## Properties
The calculation puts the formation enthalpy at 0 K at -0.213 eV per atom.

A plane-wave DFT calculation with PBE-GGA was carried out for a geometry-optimized CuAg4Te structure.

Cell: 5.5479 5.5479 5.5479 Å, 60.00 60.00 60.00°
Atoms (fractional coordinates):
1 Cu 0.0000 0.0000 0.0000
2 Ag 0.3743 0.3743 0.3743
3 Ag 0.3743 0.3743 0.8771
4 Ag 0.3743 0.8771 0.3743
5 Ag 0.8771 0.3743 0.3743
6 Te 0.7500 0.7500 0.7500

## Properties
For the uncorrected formation energy, the calculation gives 0.285 eV per atom.

A plane-wave DFT calculation with PBE-GGA was carried out for a geometry-optimized NaTl3Bi2Se6 structure.

Cell: 7.4723 7.4723 7.5631 Å, 99.67 99.67 119.94°
Atoms (fractional coordinates):
1 Na 0.0000 0.0000 0.0000
2 Tl 0.1610 0.8390 0.5000
3 Tl 0.5000 0.5000 0.5000
4 Tl 0.8390 0.1610 0.5000
5 Bi 0.3311 0.6689 0.0000
6 Bi 0.6689 0.3311 0.0000
7 Se 0.0829 0.4261 0.2371
8 Se 0.2668 0.2668 0.7757
9 Se 0.4261 0.0829 0.2371
10 Se 0.5739 0.9171 0.7629
11 Se 0.7332 0.7332 0.2243
12 Se 0.9171 0.5739 0.7629

## Properties
For the uncorrected formation energy, the calculation gives -0.450 eV per atom.

A plane-wave DFT calculation with PBE-GGA was carried out for a geometry-optimized Cd2In2Pb7 structure.

Cell: 6.4478 6.4478 8.4529 Å, 102.40 102.40 97.56°
Atoms (fractional coordinates):
1 Cd 0.2024 0.7976 0.0000
2 Cd 0.7976 0.2024 0.0000
3 In 0.0836 0.0836 0.3081
4 In 0.9164 0.9164 0.6919
5 Pb 0.0358 0.4137 0.6782
6 Pb 0.3354 0.3354 0.0730
7 Pb 0.4137 0.0358 0.6782
8 Pb 0.5000 0.5000 0.5000
9 Pb 0.5863 0.9642 0.3218
10 Pb 0.6646 0.6646 0.9270
11 Pb 0.9642 0.5863 0.3218

## Properties
The calculation puts the formation enthalpy at 0 K at 0.052 eV per atom.